DFT (PBE-GGA) results for an optimized crystal structure of LaTb5Pm3.

Output
Symmetry: C2/c (15)
D(E_F) (states/eV/cell): 27.6
Calculated formation energy (eV/atom): 0.302
Magnetic moment (μB per cell): 0.00
Energy above the most stable polymorph in this dataset (meV per atom): 60

Cell: 6.0975 10.7986 11.4044 Å, 119.99 90.00 106.40°
With the nearest neighbours (Å) after each atom.
Sites, in units of the cell vectors:
Pm1 0.9503 0.3642 0.8426  1 Pm 3.21, 1 La 3.41, 4 Tb 3.43-3.56
Pm2 0.4139 0.3642 0.3426  1 Pm 3.21, 1 La 3.41, 4 Tb 3.43-3.56
Tb1 0.3922 0.3562 0.0268  5 Tb 3.37-3.65, 3 Pm 3.46-3.77
Tb2 0.3962 0.0000 0.7500  2 La 2.94-3.16
Tb3 0.4475 0.2898 0.6492  2 Pm 3.16-3.43, 1 Tb 3.48
La1 0.8784 0.0000 0.7500  2 Tb 2.94-3.16, 2 Pm 2.95
Tb4 0.6078 0.6438 0.9732  5 Tb 3.37-3.65, 3 Pm 3.46-3.77
Tb5 0.5525 0.7102 0.3508  2 Pm 3.16-3.43, 1 Tb 3.48
Pm3 0.0000 0.0000 0.0000  2 La 2.95, 2 Tb 3.16
La2 0.1216 0.0000 0.2500  2 Tb 2.94-3.16, 2 Pm 2.95
Pm4 0.0497 0.6358 0.1574  1 Pm 3.21, 1 La 3.41, 4 Tb 3.43-3.56
Tb6 0.8423 0.2898 0.1492  2 Pm 3.16-3.43, 1 Tb 3.48
Tb7 0.1577 0.7102 0.8508  2 Pm 3.16-3.43, 1 Tb 3.48
Pm5 0.5861 0.6358 0.6574  1 Pm 3.21, 1 La 3.41, 4 Tb 3.43-3.56
Tb8 0.6038 0.0000 0.2500  2 La 2.94-3.16
Tb9 0.0361 0.6438 0.4732  5 Tb 3.37-3.65, 3 Pm 3.46-3.77
Tb10 0.9639 0.3562 0.5268  5 Tb 3.37-3.65, 3 Pm 3.46-3.77
Pm6 0.0000 0.0000 0.5000  2 La 2.95, 2 Tb 3.16

=====

DFT (PBE-GGA) results for an optimized crystal structure of La4TbPm.

Output
Symmetry: C2/m (12)
D(E_F) (states/eV/cell): 10.4
Calculated formation energy (eV/atom): 0.017
Magnetic moment (μB per cell): 0.00
Energy above the most stable polymorph in this dataset (meV per atom): 0

Cell: 6.3749 6.3768 6.4064 Å, 80.06 99.92 60.53°
With the nearest neighbours (Å) after each atom.
Sites, in units of the cell vectors:
La1 0.3299 0.3299 0.0000  3 Tb 3.63-3.72, 7 La 3.66-3.75, 2 Pm 3.71
La2 0.6701 0.6701 0.0000  3 Tb 3.63-3.72, 7 La 3.66-3.75, 2 Pm 3.71
Pm1 0.5000 0.5000 0.5000  10 La 3.65-3.71, 2 Tb 3.68
Tb1 0.0000 0.0000 0.0000  10 La 3.63-3.72, 2 Pm 3.68
La3 0.1686 0.1686 0.5000  3 Pm 3.65-3.71, 7 La 3.66-3.71, 2 Tb 3.70
La4 0.8314 0.8314 0.5000  3 Pm 3.65-3.71, 7 La 3.66-3.71, 2 Tb 3.70

=====

DFT (PBE-GGA) results for an optimized crystal structure of LaTbPm.

Output
Symmetry: P3m1 (156)
D(E_F) (states/eV/cell): 4.4
Calculated formation energy (eV/atom): 0.018
Magnetic moment (μB per cell): 0.00
Energy above the most stable polymorph in this dataset (meV per atom): 0

Cell: 3.6521 3.6521 8.9499 Å, 90.00 90.00 120.00°
With the nearest neighbours (Å) after each atom.
Sites, in units of the cell vectors:
Tb1 0.6667 0.3333 0.3303  3 Pm 3.59, 6 Tb 3.65, 3 La 3.65
Pm1 0.0000 0.0000 0.0062  3 Tb 3.59, 6 Pm 3.65, 3 La 3.72
La1 0.3333 0.6667 0.6635  6 La 3.65, 3 Tb 3.65, 3 Pm 3.72

=====

DFT (PBE-GGA) results for an optimized crystal structure of La8Tb3Pm.

Output
Symmetry: I-42m (121)
D(E_F) (states/eV/cell): 19.8
Calculated formation energy (eV/atom): 0.507
Magnetic moment (μB per cell): 0.00

Cell: 8.5985 8.5985 8.5985 Å, 93.79 117.84 117.84°
With the nearest neighbours (Å) after each atom.
Sites, in units of the cell vectors:
Pm1 0.0000 0.0000 0.0000  8 La 3.13-3.31
La1 0.0000 0.8719 0.6280  3 La 3.06-3.36, 1 Tb 3.31, 1 Pm 3.31
Tb1 0.5000 0.2500 0.7500  4 La 3.53
La2 0.7562 0.1281 0.1281  3 La 3.06-3.36, 1 Tb 3.31, 1 Pm 3.31
La3 0.5009 0.7508 0.7508  1 Pm 3.13, 1 Tb 3.14, 2 La 3.34-3.36
La4 0.4991 0.2499 0.2499  1 Pm 3.13, 1 Tb 3.14, 2 La 3.34-3.36
La5 0.0000 0.2492 0.7501  1 Pm 3.13, 1 Tb 3.14, 2 La 3.34-3.36
La6 0.0000 0.7501 0.2492  1 Pm 3.13, 1 Tb 3.14, 2 La 3.34-3.36
Tb2 0.0000 0.5000 0.5000  8 La 3.14-3.31
Tb3 0.5000 0.7500 0.2500  4 La 3.53
La7 0.0000 0.6280 0.8719  3 La 3.06-3.36, 1 Tb 3.31, 1 Pm 3.31
La8 0.2438 0.3720 0.3720  3 La 3.06-3.36, 1 Tb 3.31, 1 Pm 3.31

=====

DFT (PBE-GGA) results for an optimized crystal structure of La7Tb3Pm.

Output
Symmetry: C2/m (12)
D(E_F) (states/eV/cell): 16.7
Calculated formation energy (eV/atom): 0.213
Magnetic moment (μB per cell): 0.00
Energy above the most stable polymorph in this dataset (meV per atom): 42

Cell: 6.5156 7.8733 7.8732 Å, 82.23 94.69 94.69°
With the nearest neighbours (Å) after each atom.
Sites, in units of the cell vectors:
Tb1 0.0000 0.1680 0.8320  7 La 3.44-3.67, 3 Tb 3.48-3.69
Tb2 0.5000 0.0000 0.0000  6 La 3.54-3.65, 4 Tb 3.69
La1 0.2117 0.2360 0.2360  5 La 3.34-3.64, 3 Tb 3.45-3.54, 1 Pm 3.47
La2 0.7345 0.0656 0.4257  4 La 3.34-3.73, 3 Tb 3.55-3.67
Tb3 0.0000 0.8320 0.1680  7 La 3.44-3.67, 3 Tb 3.48-3.69
La3 0.0000 0.5000 0.5000  2 Pm 3.26, 2 Tb 3.44, 2 La 3.56
La4 0.2655 0.9344 0.5743  4 La 3.34-3.73, 3 Tb 3.55-3.67
La5 0.7345 0.4257 0.0656  4 La 3.34-3.73, 3 Tb 3.55-3.67
La6 0.7883 0.7640 0.7640  5 La 3.34-3.64, 3 Tb 3.45-3.54, 1 Pm 3.47
Pm1 0.5000 0.5000 0.5000  4 La 3.26-3.47
La7 0.2655 0.5743 0.9344  4 La 3.34-3.73, 3 Tb 3.55-3.67

=====

DFT (PBE-GGA) results for an optimized crystal structure of La3Tb7Pm.

Output
Symmetry: C2/m (12)
D(E_F) (states/eV/cell): 16.5
Calculated formation energy (eV/atom): 0.214
Magnetic moment (μB per cell): 0.00
Energy above the most stable polymorph in this dataset (meV per atom): 42

Cell: 6.4472 7.7695 7.7699 Å, 81.64 86.57 86.57°
With the nearest neighbours (Å) after each atom.
Sites, in units of the cell vectors:
Pm1 0.5000 0.5000 0.5000  4 Tb 3.22-3.47
La1 0.5000 0.0000 0.0000  6 Tb 3.50-3.72, 4 La 3.70
Tb1 0.0000 0.5000 0.5000  2 Pm 3.22, 2 La 3.27, 2 Tb 3.45
Tb2 0.7913 0.2390 0.2390  5 Tb 3.37-3.52, 1 Pm 3.47, 3 La 3.50-3.52
Tb3 0.7376 0.9116 0.5716  6 Tb 3.37-3.77, 3 La 3.54-3.72, 1 Pm 3.75
Tb4 0.7376 0.5716 0.9116  6 Tb 3.37-3.77, 3 La 3.54-3.72, 1 Pm 3.75
Tb5 0.2624 0.4284 0.0884  6 Tb 3.37-3.77, 3 La 3.54-3.72, 1 Pm 3.75
Tb6 0.2624 0.0884 0.4284  6 Tb 3.37-3.77, 3 La 3.54-3.72, 1 Pm 3.75
La2 0.0000 0.8215 0.1785  7 Tb 3.27-3.59, 1 La 3.63
Tb7 0.2087 0.7610 0.7610  5 Tb 3.37-3.52, 1 Pm 3.47, 3 La 3.50-3.52
La3 0.0000 0.1785 0.8215  7 Tb 3.27-3.59, 1 La 3.63

=====

DFT (PBE-GGA) results for an optimized crystal structure of LaTbPm.

Output
Symmetry: I4mm (107)
D(E_F) (states/eV/cell): 5.0
Calculated formation energy (eV/atom): 0.025
Magnetic moment (μB per cell): 0.00
Energy above the most stable polymorph in this dataset (meV per atom): 7

Cell: 3.6668 3.6668 8.1473 Å, 103.00 103.00 90.00°
With the nearest neighbours (Å) after each atom.
Sites, in units of the cell vectors:
La1 0.6655 0.6655 0.3310  4 Tb 3.66, 4 La 3.67, 4 Pm 3.70
Tb1 0.9983 0.9983 0.9966  4 Pm 3.60, 4 La 3.66, 4 Tb 3.67
Pm1 0.3362 0.3362 0.6724  4 Tb 3.60, 4 Pm 3.67, 4 La 3.70

=====

DFT (PBE-GGA) results for an optimized crystal structure of La3Tb4Pm.

Output
Symmetry: Pmn2_1 (31)
D(E_F) (states/eV/cell): 28.4
Calculated formation energy (eV/atom): 0.034
Magnetic moment (μB per cell): 0.00
Energy above the most stable polymorph in this dataset (meV per atom): 0

Cell: 6.3787 7.3643 11.7282 Å, 90.00 90.00 90.00°
With the nearest neighbours (Å) after each atom.
Sites, in units of the cell vectors:
Tb1 0.6494 0.1225 0.0000  6 Tb 3.60-3.66, 4 La 3.64-3.72, 2 Pm 3.67-3.68
La1 0.4793 0.3745 0.7499  4 La 3.61-3.69, 2 Pm 3.61-3.64, 6 Tb 3.64-3.71
La2 0.9793 0.6255 0.7501  4 La 3.61-3.69, 2 Pm 3.61-3.64, 6 Tb 3.64-3.71
Tb2 0.4803 0.8789 0.2510  6 Tb 3.59-3.65, 1 Pm 3.61, 5 La 3.64-3.71
La3 0.9793 0.6255 0.2499  4 La 3.61-3.69, 2 Pm 3.61-3.64, 6 Tb 3.64-3.71
Tb3 0.6485 0.1212 0.5000  6 Tb 3.59-3.66, 2 Pm 3.62-3.74, 4 La 3.64-3.69
Tb4 0.1494 0.8775 0.5000  6 Tb 3.60-3.66, 4 La 3.64-3.72, 2 Pm 3.67-3.68
Tb5 0.9803 0.1211 0.2490  6 Tb 3.59-3.65, 1 Pm 3.61, 5 La 3.64-3.71
Pm1 0.6484 0.6296 0.5000  6 Tb 3.61-3.74, 6 La 3.61-3.72
Tb6 0.1485 0.8788 0.0000  6 Tb 3.59-3.66, 2 Pm 3.62-3.74, 4 La 3.64-3.69
Tb7 0.9803 0.1211 0.7510  6 Tb 3.59-3.65, 1 Pm 3.61, 5 La 3.64-3.71
La4 0.1497 0.3720 0.5000  4 La 3.61-3.64, 6 Tb 3.64-3.72, 2 Pm 3.70-3.72
La5 0.6497 0.6280 0.0000  4 La 3.61-3.64, 6 Tb 3.64-3.72, 2 Pm 3.70-3.72
Pm2 0.1484 0.3704 0.0000  6 Tb 3.61-3.74, 6 La 3.61-3.72
La6 0.4793 0.3745 0.2501  4 La 3.61-3.69, 2 Pm 3.61-3.64, 6 Tb 3.64-3.71
Tb8 0.4803 0.8789 0.7490  6 Tb 3.59-3.65, 1 Pm 3.61, 5 La 3.64-3.71